Material: Li2TaAl2MoOs2
Method: DFT, PBE
State: optimized geometry

Raw total energy in eV/atom: -7.408
Crystal system: tetragonal

Unit cell a=4.325 b=4.325 c=6.106 alpha=90.00 beta=90.00 gamma=90.00
Sites, in units of the cell vectors:
1 Al 0.000 0.000 0.500
2 Os 0.500 0.000 0.757
3 Li 0.500 0.000 0.245
4 Li 0.000 0.500 0.755
5 Ta 0.500 0.500 0.500
6 Mo 0.000 0.000 0.000
7 Al 0.500 0.500 0.000
8 Os 0.000 0.500 0.243